VASP calculation (PBEsol) on Ni2C after structural relaxation.

The structure in POSCAR format:
```
Ni2C
1.0
-1.463 0.602 2.412
2.641 -2.225 2.157
2.654 3.792 0.663
Ni C
4 2
Cartesian
1.758 -0.765 2.982
1.587 0.644 0.802
2.073 2.934 2.250
3.707 0.922 2.018
0.000 0.000 0.000
1.916 1.084 2.616
```

Calculated formation energy ... 123 meV per atom
ΔE to the lowest computed polymorph ... 0 meV/atom
Symmetry ... Pnnm, No. 58



VASP calculation (PBEsol) on Ni3OsC after structural relaxation.

The structure in POSCAR format:
```
Ni3OsC
1.0
4.398 0.000 0.000
0.000 4.398 0.000
0.000 0.000 4.398
Ni Os C
3 1 1
Cartesian
0.000 2.199 0.000
0.000 0.000 2.199
2.199 0.000 0.000
0.000 0.000 0.000
2.199 2.199 2.199
```

Calculated formation energy ... 2807 meV per atom
Symmetry ... Pm-3m, No. 221



VASP calculation (PBEsol) on Ni3PC after structural relaxation.

The structure in POSCAR format:
```
Ni3PC
1.0
-0.686 0.429 3.644
-2.517 -2.753 -0.150
2.670 -2.484 0.795
P C Ni
1 1 3
Cartesian
-0.266 -2.404 2.145
0.000 0.000 0.000
-1.258 -1.376 -0.075
1.335 -1.242 0.397
-0.343 0.214 1.822
```

Calculated formation energy ... 113 meV per atom
Symmetry ... Pm-3m, No. 221



VASP calculation (PBEsol) on NiPdC2 after structural relaxation.

The structure in POSCAR format:
```
NiPdC2
1.0
-1.151 -3.105 1.672
2.417 -2.109 1.863
-0.152 -0.166 3.703
Ni Pd C
1 1 2
Cartesian
0.000 0.000 0.000
0.557 -2.690 3.619
0.836 -4.036 5.428
0.279 -1.345 1.809
```

Calculated formation energy ... 1605 meV per atom
Symmetry ... Fm-3m, No. 225



VASP calculation (PBEsol) on Ni3PtC after structural relaxation.

The structure in POSCAR format:
```
Ni3PtC
1.0
-2.795 -2.497 0.187
2.494 -2.752 0.536
-0.220 0.523 3.709
Ni Pt C
3 1 1
Cartesian
1.247 -1.376 0.268
-1.398 -1.248 0.093
-0.110 0.262 1.855
-0.261 -2.363 2.216
0.000 0.000 0.000
```

Calculated formation energy ... 121 meV per atom
Symmetry ... Pm-3m, No. 221



VASP calculation (PBEsol) on RbNiC2 after structural relaxation.

The structure in POSCAR format:
```
RbNiC2
1.0
4.174 0.000 0.000
2.087 3.615 0.000
2.087 1.205 3.408
Rb Ni C
1 1 2
Cartesian
4.174 2.410 1.704
0.000 0.000 0.000
6.261 3.615 2.556
2.087 1.205 0.852
```

Calculated formation energy ... 2843 meV per atom
Symmetry ... Fm-3m, No. 225



VASP calculation (PBEsol) on TiNi2RhC after structural relaxation.

The structure in POSCAR format:
```
TiNi2RhC
1.0
3.694 0.000 0.000
0.000 3.694 0.000
0.000 0.000 4.140
C Rh Ni Ti
1 1 2 1
Cartesian
0.000 0.000 0.000
1.847 1.847 2.070
0.000 1.847 0.000
1.847 0.000 0.000
0.000 0.000 2.070
```

Calculated formation energy ... -197 meV per atom
Symmetry ... P4/mmm, No. 123



VASP calculation (PBEsol) on Ni2CS2 after structural relaxation.

The structure in POSCAR format:
```
Ni2CS2
1.0
-2.567 1.541 1.935
-2.462 -1.871 -1.775
2.870 -3.588 3.380
Ni S C
2 2 1
Cartesian
-1.105 -1.106 2.698
-1.053 -2.811 0.843
-2.425 -1.101 0.943
0.267 -2.816 2.597
0.000 0.000 0.000
```

Raw formation energy ... 1.062 eV per atom
Symmetry ... I4/mmm, No. 139



VASP calculation (PBEsol) on NiSb3C after structural relaxation.

The structure in POSCAR format:
```
NiSb3C
1.0
4.814 0.000 0.000
0.000 4.814 0.000
0.000 0.000 4.814
Sb C Ni
3 1 1
Cartesian
2.407 0.000 0.000
0.000 0.000 2.407
0.000 2.407 0.000
2.407 2.407 2.407
0.000 0.000 0.000
```

Raw formation energy ... 1.505 eV per atom
Symmetry ... Pm-3m, No. 221



VASP calculation (PBEsol) on ScNiC2 after structural relaxation.

The structure in POSCAR format:
```
ScNiC2
1.0
-1.970 0.440 2.646
2.229 -1.559 1.918
3.227 6.283 1.357
C Ni Sc
4 2 2
Cartesian
3.197 3.275 1.835
0.160 2.448 1.804
3.815 4.478 2.094
-0.458 1.246 1.545
0.130 -0.559 2.282
0.000 0.000 0.000
1.139 4.356 2.216
2.217 1.368 1.423
```

Calculated formation energy ... -356 meV per atom
Symmetry ... P4/nmm, No. 129



VASP calculation (PBEsol) on Ti2SiNiC after structural relaxation.

The structure in POSCAR format:
```
Ti2SiNiC
1.0
3.961 0.000 0.000
0.000 4.521 0.000
0.000 0.000 4.521
C Si Ti Ni
1 1 2 1
Cartesian
1.981 2.261 2.261
0.000 0.000 0.000
0.000 0.000 2.261
0.000 2.261 0.000
1.981 0.000 0.000
```

Raw formation energy ... 1.336 eV per atom
Symmetry ... P4/mmm, No. 123



VASP calculation (PBEsol) on Ta4Ni2C after structural relaxation.

The structure in POSCAR format:
```
Ta4Ni2C
1.0
8.169 0.000 0.000
4.085 7.075 0.000
4.085 2.358 6.670
Ta Ni C
16 8 4
Cartesian
6.666 5.584 2.107
8.169 2.980 2.107
13.757 7.943 3.775
2.042 1.179 0.834
9.673 3.848 4.563
9.673 5.584 2.107
4.085 2.358 4.169
6.666 3.848 4.563
4.085 4.716 0.834
10.750 6.207 6.230
8.169 6.453 4.563
12.254 8.811 6.230
13.757 6.207 6.230
10.750 7.943 3.775
12.254 5.339 3.775
6.127 1.179 0.834
4.085 0.839 2.204
15.023 8.673 6.133
12.254 7.075 1.611
4.085 2.358 0.057
2.769 3.118 2.204
9.484 8.673 6.133
12.254 3.877 6.133
5.400 3.118 2.204
6.127 5.896 4.169
8.169 2.358 4.169
10.211 5.896 4.169
8.169 4.716 0.834
```

Calculated formation energy ... -461 meV per atom
Symmetry ... Fd-3m, No. 227



VASP calculation (PBEsol) on Tb4Ni13C4 after structural relaxation.

The structure in POSCAR format:
```
Tb4Ni13C4
1.0
-2.005 2.861 -1.512
-6.832 -4.659 0.243
-1.528 2.936 7.582
Ni Tb C
13 4 4
Cartesian
-6.266 -0.589 7.193
-4.419 -0.899 -0.635
-0.950 0.506 2.217
-4.221 -2.023 1.769
-2.095 -1.134 0.632
-1.767 2.899 3.035
0.000 0.000 0.000
-6.021 -2.394 3.453
-2.340 0.671 4.372
-7.411 -2.229 5.608
-2.028 1.219 0.204
-4.140 0.300 6.056
-8.338 -0.081 6.109
-3.913 0.831 1.968
-3.529 2.937 5.445
-6.453 0.308 4.345
-6.837 -1.799 0.868
-0.764 1.468 3.791
-3.875 -0.424 4.336
-4.486 -1.299 3.490
-3.416 -2.330 0.122
```

Calculated formation energy ... -377 meV per atom
Symmetry ... Cmmm, No. 65



VASP calculation (PBEsol) on NiTeC3 after structural relaxation.

The structure in POSCAR format:
```
NiTeC3
1.0
-1.381 3.577 1.402
-1.800 0.714 -3.595
-3.395 -1.834 1.335
C Te Ni
3 1 1
Cartesian
-0.900 0.357 -1.797
-0.690 1.789 0.701
-1.697 -0.917 0.668
0.000 0.000 0.000
-3.288 1.229 -0.429
```

Raw formation energy ... 3.219 eV per atom
Symmetry ... Pm-3m, No. 221



VASP calculation (PBEsol) on Th2NiC2 after structural relaxation.

The structure in POSCAR format:
```
Th2NiC2
1.0
-2.917 -1.829 -1.441
1.070 -3.104 1.774
-2.441 4.049 4.633
C Th Ni
2 2 1
Cartesian
-1.048 0.493 1.496
-3.238 -1.377 3.470
-2.389 1.124 3.409
-1.898 -2.008 1.557
0.000 0.000 0.000
```

Calculated formation energy ... -395 meV per atom
Symmetry ... I4/mmm, No. 139



VASP calculation (PBEsol) on Tm4Ni2C5 after structural relaxation.

The structure in POSCAR format:
```
Tm4Ni2C5
1.0
-2.060 2.484 -1.382
-2.590 -0.817 2.394
4.302 7.599 7.247
C Ni Tm
5 2 4
Cartesian
0.735 5.049 7.981
-1.602 0.920 4.044
0.914 2.369 2.896
2.349 4.902 5.312
-2.304 0.840 0.487
0.830 4.101 6.136
-0.160 2.353 4.469
-2.580 -0.813 2.385
-1.448 2.383 1.984
1.100 6.884 6.276
0.570 4.868 3.442
```

Calculated formation energy ... -467 meV per atom
Symmetry ... Pmm2, No. 25



VASP calculation (PBEsol) on Ni2W4C after structural relaxation.

The structure in POSCAR format:
```
Ni2W4C
1.0
7.926 0.000 0.000
3.963 6.865 0.000
3.963 2.288 6.472
W Ni C
16 8 4
Cartesian
11.890 5.112 3.615
5.945 1.144 0.809
6.409 5.452 1.997
10.372 5.988 6.093
7.926 6.329 4.475
3.963 2.288 4.045
13.407 7.741 3.615
1.982 1.144 0.809
11.890 8.617 6.093
3.963 4.576 0.809
7.926 2.824 1.997
9.444 5.452 1.997
13.407 5.988 6.093
6.409 3.700 4.475
10.372 7.741 3.615
9.444 3.700 4.475
10.566 3.052 2.158
11.890 6.865 1.621
7.926 7.625 2.158
11.890 3.816 5.932
5.286 3.052 2.158
14.530 8.389 5.932
7.926 4.576 6.469
9.250 8.389 5.932
7.926 4.576 0.809
7.926 2.288 4.045
5.945 5.720 4.045
9.908 5.720 4.045
```

Calculated formation energy ... -127 meV per atom
Symmetry ... Fd-3m, No. 227



VASP calculation (PBEsol) on Ni6W6C after structural relaxation.

The structure in POSCAR format:
```
Ni6W6C
1.0
7.637 0.000 0.000
3.818 6.614 0.000
3.818 2.205 6.236
Ni W C
12 12 2
Cartesian
7.637 4.409 6.232
8.913 8.082 5.715
5.728 1.102 0.779
11.455 3.678 5.715
10.179 2.941 2.080
13.998 8.082 5.715
3.818 4.409 0.779
1.909 1.102 0.779
5.094 2.941 2.080
7.637 7.345 2.080
11.455 6.614 1.563
3.818 2.205 3.897
11.455 4.852 3.431
11.455 8.376 5.923
6.111 3.528 4.364
7.637 2.647 1.872
6.111 5.290 1.872
9.163 3.528 4.364
9.929 5.733 5.923
9.163 5.290 1.872
7.637 6.171 4.364
9.929 7.495 3.431
12.981 7.495 3.431
12.981 5.733 5.923
7.637 4.409 3.118
11.455 6.614 4.677
```

Calculated formation energy ... -127 meV per atom
Symmetry ... Fd-3m, No. 227



VASP calculation (PBEsol) on YNiC2 after structural relaxation.

The structure in POSCAR format:
```
YNiC2
1.0
-2.853 -1.854 1.018
1.450 -3.064 -1.517
1.213 0.060 3.509
C Y Ni
2 1 1
Cartesian
0.360 -3.508 0.816
-0.457 -2.586 0.205
1.449 -3.056 -1.504
-0.122 -2.075 2.075
```

Calculated formation energy ... -404 meV per atom
Symmetry ... Amm2, No. 38



VASP calculation (PBEsol) on Y4Ni13C4 after structural relaxation.

The structure in POSCAR format:
```
Y4Ni13C4
1.0
-1.624 -2.739 2.082
0.718 -5.252 -6.352
7.430 -2.207 2.894
Ni C Y
13 4 4
Cartesian
6.142 -3.993 -0.462
6.335 -7.912 -1.992
0.000 0.000 0.000
2.006 -3.466 -2.996
2.903 -2.473 2.488
2.209 -1.030 0.368
-0.453 -3.996 -2.135
0.189 -2.286 0.616
4.387 -2.386 0.283
7.389 -5.772 -1.830
3.761 -5.073 -3.741
0.759 -1.687 -1.628
5.939 -6.429 -3.826
3.687 -3.905 -2.262
0.359 -2.626 -3.176
4.461 -3.554 -1.196
3.715 -1.103 1.447
1.170 -6.049 -3.570
5.354 -4.150 2.194
4.493 -6.226 -1.211
2.030 -3.972 -0.166
```

Calculated formation energy ... -374 meV per atom
Symmetry ... Cmmm, No. 65



VASP calculation (PBEsol) on ZnNi2C2 after structural relaxation.

The structure in POSCAR format:
```
ZnNi2C2
1.0
-2.135 -0.577 1.347
0.626 -2.511 -0.085
4.159 2.201 5.046
Zn C Ni
1 2 2
Cartesian
0.000 0.000 0.000
0.634 0.040 3.512
2.015 -0.928 2.796
0.166 -1.367 2.167
2.483 0.479 4.141
```

Calculated formation energy ... 731 meV per atom
Symmetry ... I4/mmm, No. 139



VASP calculation (PBEsol) on Zr3NiC after structural relaxation.

The structure in POSCAR format:
```
Zr3NiC
1.0
4.683 0.000 0.000
0.000 4.683 0.000
0.000 0.000 4.683
Zr Ni C
3 1 1
Cartesian
0.000 0.000 2.341
0.000 2.341 0.000
2.341 0.000 0.000
0.000 0.000 0.000
2.341 2.341 2.341
```

Calculated formation energy ... 1279 meV per atom
Symmetry ... Pm-3m, No. 221



VASP calculation (PBEsol) on OsCO3 after structural relaxation.

The structure in POSCAR format:
```
OsCO3
1.0
3.415 0.000 0.000
0.000 3.415 0.000
0.000 0.000 3.415
O Os C
3 1 1
Cartesian
0.000 0.000 1.707
1.707 0.000 0.000
0.000 1.707 0.000
1.707 1.707 1.707
0.000 0.000 0.000
```

Raw formation energy ... 1.332 eV per atom
Symmetry ... Pm-3m, No. 221